No. 1
Pu2CdHg5: optimized geometry, PBE.

Cell lengths 12.473, 12.473, 10.267 Å; angles 90.00, 90.00, 165.40 degrees
Atoms (fractional coordinates):
Pu1 0.000 0.000 0.000
Pu2 0.000 0.000 0.500
Pu3 0.184 0.816 0.750
Pu4 0.816 0.184 0.250
Cd1 0.440 0.560 0.250
Cd2 0.560 0.440 0.750
Hg1 0.215 0.785 0.104
Hg2 0.215 0.785 0.396
Hg3 0.381 0.619 0.003
Hg4 0.381 0.619 0.497
Hg5 0.439 0.561 0.750
Hg6 0.561 0.439 0.250
Hg7 0.619 0.381 0.503
Hg8 0.619 0.381 0.997
Hg9 0.785 0.215 0.604
Hg10 0.785 0.215 0.896

Summary:
Density of states at the Fermi level: 18.90 states/eV/f.u.
Energy of formation: -0.083 eV per atom
V: 402.7 Å³ per cell
VASP energy: -3.969 eV per atom
Energy relative to the lowest polymorph listed for this composition: 0.0 kJ/mol of atoms
Mass density: 13.22 g cm⁻³

---

No. 2
PuCdHg: optimized geometry, PBE.

Cell lengths 5.780, 5.780, 5.780 Å; angles 148.98, 131.50, 58.70 degrees
Atoms (fractional coordinates):
Pu1 0.000 0.000 0.000
Cd1 0.671 0.671 0.000
Hg1 0.333 0.333 0.000

Summary:
Density of states at the Fermi level: 8.05 states/eV/f.u.
Energy of formation: -0.060 eV per atom
V: 73.9 Å³ per cell
VASP energy: -5.243 eV per atom
Mass density: 12.51 g cm⁻³

---

No. 3
Pu2Cd3Hg5: optimized geometry, PBE.

Cell lengths 9.623, 9.623, 9.623 Å; angles 99.01, 93.39, 141.65 degrees
Atoms (fractional coordinates):
Pu1 0.245 0.129 0.374
Pu2 0.255 0.629 0.884
Pu3 0.745 0.371 0.116
Pu4 0.755 0.871 0.626
Cd1 0.138 0.872 0.010
Cd2 0.250 0.750 0.500
Cd3 0.362 0.372 0.733
Cd4 0.638 0.628 0.267
Cd5 0.750 0.250 0.500
Cd6 0.862 0.128 0.990
Hg1 0.153 0.386 0.538
Hg2 0.250 0.250 0.000
Hg3 0.250 0.508 0.258
Hg4 0.250 0.992 0.742
Hg5 0.347 0.886 0.233
Hg6 0.653 0.114 0.767
Hg7 0.750 0.008 0.258
Hg8 0.750 0.492 0.742
Hg9 0.750 0.750 0.000
Hg10 0.847 0.614 0.462

Summary:
Density of states at the Fermi level: 32.85 states/eV/f.u.
Energy of formation: 0.029 eV per atom
V: 521.4 Å³ per cell
VASP energy: -3.263 eV per atom
Mass density: 11.64 g cm⁻³

---

- mass density of number 2 (PuCdHg)?
  12.51 g cm⁻³

---

- What is the VASP energy in the second record?
  -5.243 eV per atom

---

- Among the records above, which one has the lowest energy of formation?
  Pu2CdHg5

---

- The lowest VASP energy belongs to which entry?
  PuCdHg